Record 1
Density functional theory data (PBE) for crystalline LiCa2NiHg at its relaxed geometry.

## Properties
Its total energy is -2.487 eV per atom. For the formation energy, the calculation gives -0.09 eV per atom.

```
data_LiCa2NiHg
_chemical_formula_sum 'Li1 Ca2 Ni1 Hg1'
_space_group_name_H-M_alt 'P 4/m m m'
_space_group_IT_number 123
_space_group_name_Hall '-P 4 2'
_cell_length_a 5.338
_cell_length_b 5.338
_cell_length_c 5.017
_cell_angle_alpha 90.00
_cell_angle_beta 90.00
_cell_angle_gamma 90.00
loop_
_atom_site_label
_atom_site_type_symbol
_atom_site_fract_x
_atom_site_fract_y
_atom_site_fract_z
Li1 Li 0.000 0.000 0.000
Ca1 Ca 0.000 0.500 0.500
Ni1 Ni 0.500 0.500 0.500
Hg1 Hg 0.500 0.500 0.000
```


Record 2
Density functional theory data (PBE) for crystalline Ho2Er3Os2 at its relaxed geometry.

## Properties
The value obtained for the energy above the most stable polymorph in this dataset is 0.175 eV/atom. Its total energy is -6.573 eV per atom. For the formation energy, the calculation gives -0.10 eV per atom.

```
data_Ho2Er3Os2
_chemical_formula_sum 'Ho4 Er6 Os4'
_space_group_name_H-M_alt 'C 1 2/m 1'
_space_group_IT_number 12
_cell_length_a 11.005
_cell_length_b 4.733
_cell_length_c 9.218
_cell_angle_alpha 90.00
_cell_angle_beta 126.17
_cell_angle_gamma 90.00
loop_
_space_group_symop_operation_xyz
'x,y,z'
'-x,-y,-z'
'-x,y,-z'
'x,-y,z'
'x+1/2,y+1/2,z'
'-x+1/2,-y+1/2,-z'
'-x+1/2,y+1/2,-z'
'x+1/2,-y+1/2,z'
loop_
_atom_site_label
_atom_site_type_symbol
_atom_site_fract_x
_atom_site_fract_y
_atom_site_fract_z
Ho1 Ho 0.197 0.000 0.184
Er1 Er 0.000 0.000 0.500
Er2 Er 0.018 0.500 0.820
Os1 Os 0.181 0.000 0.861
```


Record 3
Density functional theory data (PBE) for crystalline HfMoSe2N at its relaxed geometry.

## Properties
The value obtained for the energy above the most stable polymorph in this dataset is 0.235 eV/atom. For the raw formation energy, the calculation gives 334 meV/atom. Its total energy is -6.881 eV per atom.

```
data_HfMoSe2N
_chemical_formula_sum 'Hf1 Mo1 Se2 N1'
_space_group_name_H-M_alt 'P 4/m m m'
_space_group_IT_number 123
_space_group_name_Hall '-P 4 2'
_cell_length_a 5.256
_cell_length_b 5.256
_cell_length_c 3.956
_cell_angle_alpha 90.00
_cell_angle_beta 90.00
_cell_angle_gamma 90.00
loop_
_atom_site_label
_atom_site_type_symbol
_atom_site_fract_x
_atom_site_fract_y
_atom_site_fract_z
Hf1 Hf 0.000 0.000 0.000
Mo1 Mo 0.500 0.500 0.500
Se1 Se 0.000 0.500 0.000
N1 N 0.000 0.000 0.500
```